Entry from Alexandria: TiTl2GeRu after structural relaxation (PBE).

POSCAR file:
```
TiTl2GeRu
1.0
5.128 0.000 0.000
0.000 5.128 0.000
0.000 0.000 4.798
Ti Tl Ge Ru
1 2 1 1
Direct
0.000 0.000 0.000
0.000 0.500 0.500
0.500 0.000 0.500
0.000 0.000 0.500
0.500 0.500 0.000
```

Values from the calculation:
ΔH_f (0 K) in eV/atom: 1.29
DOS at the Fermi energy in states/eV/atom: 1.67
Theoretical density in g cm⁻³: 8.3
Spin magnetization in μB per formula unit: 0.59